# PBE Ho7Tm3Mg, optimized geometry
data_Ho7Tm3Mg
_chemical_formula_sum 'Ho7 Tm3 Mg1'
_cell_length_a 6.9183
_cell_length_b 6.9183
_cell_length_c 8.4647
_cell_angle_alpha 90.00
_cell_angle_beta 90.00
_cell_angle_gamma 120.00
_symmetry_space_group_name_H-M 'P 3 m 1'
_symmetry_Int_Tables_number 156
_symmetry_space_group_name_Hall 'P 3 -2"'
loop_
_atom_site_label
_atom_site_type_symbol
_atom_site_fract_x
_atom_site_fract_y
_atom_site_fract_z
_atom_site_occupancy
Ho1 Ho 0.0000 0.0000 0.0000 1
Ho2 Ho 0.1637 0.3273 0.6688 1
Ho3 Ho 0.5003 0.0006 0.9979 1
Tm1 Tm 0.3303 0.1652 0.3310 1
Mg1 Mg 0.6667 0.3333 0.6684 1
# VASP energy, eV for the cell shown: -44.8
# ΔH_f (0 K), kcal/mol of atoms: 4.63


# PBE Pm3ZnCo2, optimized geometry
data_Pm3ZnCo2
_chemical_formula_sum 'Pm12 Zn4 Co8'
_cell_length_a 7.990
_cell_length_b 8.438
_cell_length_c 10.257
_cell_angle_alpha 90.00
_cell_angle_beta 125.39
_cell_angle_gamma 90.00
_symmetry_space_group_name_H-M 'P 1 21/c 1'
_symmetry_Int_Tables_number 14
_symmetry_space_group_name_Hall '-P 2ybc'
loop_
_atom_site_label
_atom_site_type_symbol
_atom_site_fract_x
_atom_site_fract_y
_atom_site_fract_z
_atom_site_occupancy
Pm1 Pm 0.229 0.036 0.443 1
Pm2 Pm 0.242 0.720 0.669 1
Pm3 Pm 0.246 0.036 0.907 1
Zn1 Zn 0.307 0.213 0.210 1
Co1 Co 0.017 0.746 0.314 1
Co2 Co 0.464 0.003 0.761 1
# VASP energy, eV for the cell shown: -119.9
# ΔH_f (0 K), kcal/mol of atoms: -0.94


# PBE CuBSe2, optimized geometry
data_CuBSe2
_chemical_formula_sum 'Cu4 B4 Se8'
_cell_length_a 6.252
_cell_length_b 6.252
_cell_length_c 6.600
_cell_angle_alpha 90.00
_cell_angle_beta 90.00
_cell_angle_gamma 90.00
_symmetry_space_group_name_H-M 'I 4/m c m'
_symmetry_Int_Tables_number 140
_symmetry_space_group_name_Hall '-I 4 2c'
loop_
_atom_site_label
_atom_site_type_symbol
_atom_site_fract_x
_atom_site_fract_y
_atom_site_fract_z
_atom_site_occupancy
Cu1 Cu 0.000 0.500 0.250 1
B1 B 0.000 0.000 0.250 1
Se1 Se 0.203 0.297 0.000 1
# VASP energy, eV for the cell shown: -54.7
# Uncorrected formation energy, eV per atom: 1.02